VASP calculation (PBE) on a geometry-optimized BaY3Ru structure.

The value obtained for the energy of formation is 401 meV per atom. The value obtained for the energy above the most stable polymorph in this dataset is 2.84 eV/f.u. As for the calculated total energy: -28.59 eV for the cell shown. The value obtained for the total magnetic moment is 0.94 μB per cell.

Cell lengths 4.5121, 4.5121, 10.1697 Å; angles 90.00, 90.00, 90.00 degrees
Space group P4mm (No. 99)
Asymmetric unit:
Ba1 0.0000 0.0000 0.0000 (multiplicity 1)
Y1 0.0000 0.0000 0.4106 (multiplicity 1)
Y2 0.0000 0.5000 0.6882 (multiplicity 2)
Ru1 0.5000 0.5000 0.8481 (multiplicity 1)